(1)
# Pa2InSn

A geometry-optimized Pa2InSn structure (PBE-GGA, the Alexandria database).

Final energy in eV/atom: -6.3410
Calculated volume in A^3/atom: 26.60
Calculated formation energy in kJ per mole of atoms: 8.9
M_tot in μB per atom: 0.890

Structure (CIF):
```
data_Pa2InSn
_chemical_formula_sum 'Pa8 In4 Sn4'
_cell_length_a 7.522
_cell_length_b 7.522
_cell_length_c 7.522
_cell_angle_alpha 90.00
_cell_angle_beta 90.00
_cell_angle_gamma 90.00
_space_group_name_H-M_alt 'F m -3 m'
_space_group_IT_number 225
_space_group_name_Hall '-F 4 2 3'
loop_
_atom_site_label
_atom_site_type_symbol
_atom_site_fract_x
_atom_site_fract_y
_atom_site_fract_z
Pa1 Pa 0.250 0.250 0.250
In1 In 0.000 0.000 0.000
Sn1 Sn 0.000 0.000 0.500
```


(2)
# HoTm3Sc2

A geometry-optimized HoTm3Sc2 structure (PBE-GGA, the Alexandria database).

Final energy in eV/atom: -4.9790
Calculated volume in A^3/atom: 28.97
Calculated formation energy in kJ per mole of atoms: 12.6
M_tot in μB per atom: 0.000

Structure (CIF):
```
data_HoTm3Sc2
_chemical_formula_sum 'Ho4 Tm12 Sc8'
_cell_length_a 16.975
_cell_length_b 3.378
_cell_length_c 13.674
_cell_angle_alpha 90.00
_cell_angle_beta 117.56
_cell_angle_gamma 90.00
_space_group_name_H-M_alt 'C 1 2/m 1'
_space_group_IT_number 12
loop_
_space_group_symop_operation_xyz
'x,y,z'
'-x,-y,-z'
'-x,y,-z'
'x,-y,z'
'x+1/2,y+1/2,z'
'-x+1/2,-y+1/2,-z'
'-x+1/2,y+1/2,-z'
'x+1/2,-y+1/2,z'
loop_
_atom_site_label
_atom_site_type_symbol
_atom_site_fract_x
_atom_site_fract_y
_atom_site_fract_z
Ho1 Ho 0.060 0.000 0.145
Tm1 Tm 0.040 0.500 0.714
Tm2 Tm 0.103 0.000 0.526
Tm3 Tm 0.245 0.000 0.801
Sc1 Sc 0.159 0.000 0.967
Sc2 Sc 0.183 0.500 0.384
```


(3)
# Pm8RuRh2

A geometry-optimized Pm8RuRh2 structure (PBE-GGA, the Alexandria database).

Final energy in eV/atom: -5.9559
Calculated volume in A^3/atom: 27.72
Calculated formation energy in kJ per mole of atoms: -31.0
M_tot in μB per atom: 0.000

Structure (CIF):
```
data_Pm8RuRh2
_chemical_formula_sum 'Pm16 Ru2 Rh4'
_cell_length_a 17.697
_cell_length_b 5.081
_cell_length_c 6.872
_cell_angle_alpha 90.00
_cell_angle_beta 99.26
_cell_angle_gamma 90.00
_space_group_name_H-M_alt 'C 1 2/m 1'
_space_group_IT_number 12
loop_
_space_group_symop_operation_xyz
'x,y,z'
'-x,-y,-z'
'-x,y,-z'
'x,-y,z'
'x+1/2,y+1/2,z'
'-x+1/2,-y+1/2,-z'
'-x+1/2,y+1/2,-z'
'x+1/2,-y+1/2,z'
loop_
_atom_site_label
_atom_site_type_symbol
_atom_site_fract_x
_atom_site_fract_y
_atom_site_fract_z
Pm1 Pm 0.038 0.000 0.283
Pm2 Pm 0.087 0.500 0.927
Pm3 Pm 0.165 0.500 0.460
Pm4 Pm 0.201 0.000 0.838
Ru1 Ru 0.000 0.500 0.500
Rh1 Rh 0.210 0.000 0.241
```